[1]
The following is a DFT calculation (GGA-PBE) of crystalline KHO at its relaxed geometry.

Summary:
Size of the total moment: 0.000 μB/f.u.
Raw total energy: -4.428 eV per atom
N(E_F): 0.0 states/eV/cell

Lattice parameters (Å, degrees): 3.9710 3.9710 6.2980 90.00 90.00 90.00
Sites, in units of the cell vectors:
K 0.0000 0.0000 0.0000
K 0.5000 0.5000 0.5000
H 0.0000 0.0000 0.5676
H 0.5000 0.5000 0.0676
O 0.0000 0.0000 0.4133
O 0.5000 0.5000 0.9133

---

[2]
The following is a DFT calculation (GGA-PBE) of crystalline KHO at its relaxed geometry.

Summary:
Size of the total moment: 0.000 μB/f.u.
Raw total energy: -4.476 eV per atom
N(E_F): 0.0 states/eV/cell

Lattice parameters (Å, degrees): 5.7600 4.0105 7.9907 90.00 111.67 90.00
Sites, in units of the cell vectors:
K 0.2169 0.2481 0.4319
K 0.2169 0.2519 0.9319
K 0.7831 0.7481 0.0681
K 0.7831 0.7519 0.5681
H 0.4303 0.6175 0.7332
H 0.4303 0.8825 0.2332
H 0.5697 0.1175 0.7668
H 0.5697 0.3825 0.2668
O 0.2904 0.7237 0.2053
O 0.2904 0.7763 0.7053
O 0.7096 0.2237 0.2947
O 0.7096 0.2763 0.7947

---

[3]
The following is a DFT calculation (GGA-PBE) of crystalline KHO3 at its relaxed geometry.

Summary:
Size of the total moment: 4.000 μB/f.u.
Raw total energy: -2.369 eV per atom
N(E_F): 7.3 states/eV/cell

Lattice parameters (Å, degrees): 4.7163 4.7163 4.7163 90.00 90.00 90.00
Sites, in units of the cell vectors:
K 0.0000 0.0000 0.0000
H 0.5000 0.5000 0.5000
O 0.0000 0.0000 0.5000
O 0.0000 0.5000 0.0000
O 0.5000 0.0000 0.0000